Compound: KBaSr3
Source: Alexandria
Functional: meta-GGA SCAN
Structure: single point on PBEsol structure

Values from the calculation:
M_tot = 0.433 μB per atom
V = 62.75 Å³/atom
ρ = 2.325 g/cm3
E = -22.46 eV/atom
density of states at the Fermi level = 9.153 states/eV/cell

```
KBaSr3
1.0
6.7950 0.0000 0.0000
0.0000 6.7950 0.0000
0.0000 0.0000 6.7950
K Ba Sr
1 1 3
Cartesian
0.0000 0.0000 0.0000
3.3975 3.3975 3.3975
0.0000 0.0000 3.3975
0.0000 3.3975 0.0000
3.3975 0.0000 0.0000
```